(1)
## PaNiHRu2 (PBE)

Data for a relaxed PaNiHRu2 crystal.

Cell: 3.868 4.115 4.115 Å, 90.00 90.00 90.00°
Fractional coordinates of all 5 atoms:
Pa1 0.500 0.500 0.500
Ni1 0.500 0.000 0.000
H1 0.000 0.000 0.000
Ru1 0.000 0.000 0.500
Ru2 0.000 0.500 0.000

Energy, eV per atom: -7.841
Size of the total moment, μB per formula unit: 0.0
Symmetry: P4/mmm, No. 123

***

(2)
## RbYHf (PBE)

Data for a relaxed RbYHf crystal.

Cell: 5.129 6.714 12.448 Å, 90.00 90.00 90.00°
Fractional coordinates of all 12 atoms:
Y1 0.753 0.250 0.457
Y2 0.747 0.750 0.957
Y3 0.247 0.750 0.543
Y4 0.253 0.250 0.043
Hf1 0.253 0.250 0.297
Hf2 0.247 0.750 0.797
Hf3 0.747 0.750 0.703
Hf4 0.753 0.250 0.203
Rb1 0.754 0.250 0.836
Rb2 0.746 0.750 0.336
Rb3 0.246 0.750 0.164
Rb4 0.254 0.250 0.664

Energy, eV per atom: -4.909
Size of the total moment, μB per formula unit: 0.0
Symmetry: Pnma, No. 62
Polymorph energy (0 for the lowest one), meV per atom: 640

***

(3)
## Nd6In3Rh (PBE)

Data for a relaxed Nd6In3Rh crystal.

Cell: 5.407 9.331 11.868 Å, 90.00 90.06 90.00°
Fractional coordinates of all 20 atoms:
Nd1 0.502 0.157 0.918
Nd2 0.501 0.187 0.581
Nd3 0.502 0.491 0.263
Nd4 0.498 0.509 0.737
Nd5 0.499 0.813 0.419
Nd6 0.498 0.843 0.082
Nd7 0.002 0.343 0.418
Nd8 0.001 0.313 0.081
Nd9 0.002 0.009 0.763
Nd10 0.998 0.991 0.237
Nd11 0.999 0.687 0.919
Nd12 0.998 0.657 0.582
In1 0.502 0.844 0.731
In2 0.500 0.500 0.000
In3 0.498 0.156 0.269
In4 0.002 0.656 0.231
In5 0.000 0.000 0.500
In6 0.998 0.344 0.769
Rh1 0.500 0.500 0.500
Rh2 0.000 0.000 0.000

Energy, eV per atom: -4.799
Size of the total moment, μB per formula unit: 0.0
Symmetry: P2_1/c, No. 14

***

(4)
## Ca2WCl (PBE)

Data for a relaxed Ca2WCl crystal.

Cell: 11.499 11.499 11.499 Å, 16.62 16.62 16.62°
Fractional coordinates of all 4 atoms:
Ca1 0.004 0.004 0.004
Ca2 0.237 0.237 0.237
W1 0.742 0.742 0.742
Cl1 0.517 0.517 0.517

Energy, eV per atom: -4.287
Size of the total moment, μB per formula unit: 0.5
Symmetry: R3m, No. 160
Polymorph energy (0 for the lowest one), meV per atom: 569

***

(5)
## CeMg3Ge3 (PBE)

Data for a relaxed CeMg3Ge3 crystal.

Cell: 7.222 7.222 7.222 Å, 90.00 90.00 90.00°
Fractional coordinates of all 14 atoms:
Ge1 0.000 0.250 0.500
Ge2 0.000 0.750 0.500
Ge3 0.500 0.000 0.750
Ge4 0.750 0.500 0.000
Ge5 0.500 0.000 0.250
Ge6 0.250 0.500 0.000
Mg1 0.250 0.000 0.500
Mg2 0.000 0.500 0.250
Mg3 0.500 0.750 0.000
Mg4 0.750 0.000 0.500
Mg5 0.000 0.500 0.750
Mg6 0.500 0.250 0.000
Ce1 0.500 0.500 0.500
Ce2 0.000 0.000 0.000

Energy, eV per atom: -3.303
Size of the total moment, μB per formula unit: 1.0
Symmetry: Pm-3n, No. 223

***

(6)
## VAs2IrSe (PBE)

Data for a relaxed VAs2IrSe crystal.

Cell: 4.664 4.664 4.613 Å, 90.00 90.00 90.00°
Fractional coordinates of all 5 atoms:
As1 0.000 0.500 0.000
As2 0.500 0.000 0.000
Ir1 0.500 0.500 0.500
Se1 0.000 0.000 0.500
V1 0.000 0.000 0.000

Energy, eV per atom: -5.348
Size of the total moment, μB per formula unit: 0.2
Symmetry: P4/mmm, No. 123
Polymorph energy (0 for the lowest one), meV per atom: 0

***

Let's list calculated volume in order: 13.10; 35.72; 29.94; 27.11; 26.91; 20.07 Å³/atom.